No. 1
# Rb2ScTe6Au2 | Alexandria | PBE-GGA | relaxed
# - total moment (μB per atom) = 0.0000
# - raw formation energy (meV per atom) = -493
data_Rb2ScTe6Au2
_chemical_formula_sum 'Rb4 Sc2 Te12 Au4'
_cell_length_a 13.228
_cell_length_b 8.248
_cell_length_c 8.955
_cell_angle_alpha 90.00
_cell_angle_beta 119.33
_cell_angle_gamma 90.00
_symmetry_space_group_name_H-M 'C 1 2/m 1'
_symmetry_Int_Tables_number 12
loop_
_symmetry_equiv_pos_as_xyz
'x,y,z'
'-x,-y,-z'
'-x,y,-z'
'x,-y,z'
'x+1/2,y+1/2,z'
'-x+1/2,-y+1/2,-z'
'-x+1/2,y+1/2,-z'
'x+1/2,-y+1/2,z'
loop_
_atom_site_label
_atom_site_type_symbol
_atom_site_fract_x
_atom_site_fract_y
_atom_site_fract_z
_atom_site_occupancy
Rb1 Rb 0.241 0.000 0.225 1
Sc1 Sc 0.000 0.000 0.500 1
Te1 Te 0.023 0.213 0.773 1
Te2 Te 0.239 0.000 0.773 1
Au1 Au 0.076 0.500 0.267 1

No. 2
# RbAuSe2 | Alexandria | PBE-GGA | relaxed
# - total moment (μB per atom) = 0.0000
# - raw formation energy (meV per atom) = -353
data_RbAuSe2
_chemical_formula_sum 'Rb4 Au4 Se8'
_cell_length_a 7.836
_cell_length_b 7.836
_cell_length_c 8.016
_cell_angle_alpha 90.00
_cell_angle_beta 90.00
_cell_angle_gamma 90.00
_symmetry_space_group_name_H-M 'I 4/m c m'
_symmetry_Int_Tables_number 140
_symmetry_space_group_name_Hall '-I 4 2c'
loop_
_atom_site_label
_atom_site_type_symbol
_atom_site_fract_x
_atom_site_fract_y
_atom_site_fract_z
_atom_site_occupancy
Rb1 Rb 0.000 0.000 0.250 1
Au1 Au 0.000 0.500 0.250 1
Se1 Se 0.143 0.357 0.000 1

No. 3
# Rb3AuSe | Alexandria | PBE-GGA | relaxed
# - relative energy among the computed polymorphs (kJ/mol of formula units) = 0.0
# - total moment (μB per atom) = 0.0000
# - raw formation energy (meV per atom) = -645
data_Rb3AuSe
_chemical_formula_sum 'Rb6 Au2 Se2'
_cell_length_a 4.927
_cell_length_b 9.213
_cell_length_c 9.773
_cell_angle_alpha 84.68
_cell_angle_beta 89.94
_cell_angle_gamma 74.66
_symmetry_space_group_name_H-M 'P -1'
_symmetry_Int_Tables_number 2
loop_
_symmetry_equiv_pos_as_xyz
'x,y,z'
'-x,-y,-z'
loop_
_atom_site_label
_atom_site_type_symbol
_atom_site_fract_x
_atom_site_fract_y
_atom_site_fract_z
_atom_site_occupancy
Rb1 Rb 0.063 0.379 0.143 1
Rb2 Rb 0.236 0.028 0.831 1
Rb3 Rb 0.395 0.709 0.421 1
Au1 Au 0.206 0.089 0.448 1
Se1 Se 0.388 0.720 0.088 1

No. 4
# Rb2AuSe3 | Alexandria | PBE-GGA | relaxed
# - total moment (μB per atom) = 0.0000
# - raw formation energy (meV per atom) = -496
data_Rb2AuSe3
_chemical_formula_sum 'Rb4 Au2 Se6'
_cell_length_a 7.2354
_cell_length_b 7.2354
_cell_length_c 12.1690
_cell_angle_alpha 90.00
_cell_angle_beta 90.00
_cell_angle_gamma 120.00
_symmetry_space_group_name_H-M 'P -3 m 1'
_symmetry_Int_Tables_number 164
_symmetry_space_group_name_Hall '-P 3 2"'
loop_
_atom_site_label
_atom_site_type_symbol
_atom_site_fract_x
_atom_site_fract_y
_atom_site_fract_z
_atom_site_occupancy
Rb1 Rb 0.0000 0.0000 0.0000 1
Rb2 Rb 0.0000 0.0000 0.5000 1
Rb3 Rb 0.3333 0.6667 0.2502 1
Au1 Au 0.3333 0.6667 0.7503 1
Se1 Se 0.1374 0.2749 0.7499 1

No. 5
# Rb3AuSe2 | Alexandria | PBE-GGA | relaxed
# - total moment (μB per atom) = 0.0000
# - raw formation energy (meV per atom) = -893
data_Rb3AuSe2
_chemical_formula_sum 'Rb12 Au4 Se8'
_cell_length_a 7.775
_cell_length_b 13.667
_cell_length_c 9.369
_cell_angle_alpha 90.00
_cell_angle_beta 90.00
_cell_angle_gamma 90.00
_symmetry_space_group_name_H-M 'I b a m'
_symmetry_Int_Tables_number 72
_symmetry_space_group_name_Hall '-I 2 2c'
loop_
_atom_site_label
_atom_site_type_symbol
_atom_site_fract_x
_atom_site_fract_y
_atom_site_fract_z
_atom_site_occupancy
Rb1 Rb 0.000 0.000 0.250 1
Rb2 Rb 0.000 0.289 0.250 1
Au1 Au 0.000 0.500 0.000 1
Se1 Se 0.250 0.115 0.000 1

No. 6
# Rb2AuSe2 | Alexandria | PBE-GGA | relaxed
# - total moment (μB per atom) = 0.2000
# - raw formation energy (meV per atom) = -681
data_Rb2AuSe2
_chemical_formula_sum 'Rb4 Au2 Se4'
_cell_length_a 6.898
_cell_length_b 6.898
_cell_length_c 10.403
_cell_angle_alpha 90.00
_cell_angle_beta 90.00
_cell_angle_gamma 90.00
_symmetry_space_group_name_H-M 'I 4/m m m'
_symmetry_Int_Tables_number 139
_symmetry_space_group_name_Hall '-I 4 2'
loop_
_atom_site_label
_atom_site_type_symbol
_atom_site_fract_x
_atom_site_fract_y
_atom_site_fract_z
_atom_site_occupancy
Rb1 Rb 0.000 0.500 0.250 1
Au1 Au 0.000 0.000 0.000 1
Se1 Se 0.000 0.000 0.230 1

No. 7
# Rb2AuSe8 | Alexandria | PBE-GGA | relaxed
# - total moment (μB per atom) = 0.0000
# - raw formation energy (meV per atom) = -320
data_Rb2AuSe8
_chemical_formula_sum 'Rb4 Au2 Se16'
_cell_length_a 12.153
_cell_length_b 7.240
_cell_length_c 8.417
_cell_angle_alpha 90.00
_cell_angle_beta 107.36
_cell_angle_gamma 90.00
_symmetry_space_group_name_H-M 'C 1 2/m 1'
_symmetry_Int_Tables_number 12
loop_
_symmetry_equiv_pos_as_xyz
'x,y,z'
'-x,-y,-z'
'-x,y,-z'
'x,-y,z'
'x+1/2,y+1/2,z'
'-x+1/2,-y+1/2,-z'
'-x+1/2,y+1/2,-z'
'x+1/2,-y+1/2,z'
loop_
_atom_site_label
_atom_site_type_symbol
_atom_site_fract_x
_atom_site_fract_y
_atom_site_fract_z
_atom_site_occupancy
Rb1 Rb 0.176 0.000 0.180 1
Au1 Au 0.000 0.000 0.500 1
Se1 Se 0.066 0.232 0.737 1
Se2 Se 0.075 0.500 0.327 1
Se3 Se 0.205 0.500 0.166 1

No. 8
# RbAu3Se2 | Alexandria | PBE-GGA | relaxed
# - total moment (μB per atom) = 0.0000
# - raw formation energy (meV per atom) = -453
data_RbAu3Se2
_chemical_formula_sum 'Rb1 Au3 Se2'
_cell_length_a 6.2654
_cell_length_b 6.2654
_cell_length_c 5.5694
_cell_angle_alpha 90.00
_cell_angle_beta 90.00
_cell_angle_gamma 120.00
_symmetry_space_group_name_H-M 'P -3 m 1'
_symmetry_Int_Tables_number 164
_symmetry_space_group_name_Hall '-P 3 2"'
loop_
_atom_site_label
_atom_site_type_symbol
_atom_site_fract_x
_atom_site_fract_y
_atom_site_fract_z
_atom_site_occupancy
Rb1 Rb 0.0000 0.0000 0.0000 1
Au1 Au 0.0000 0.5000 0.5000 1
Se1 Se 0.3333 0.6667 0.1944 1

No. 9
# RbAuSe2 | Alexandria | PBE-GGA | relaxed
# - total moment (μB per atom) = 0.0000
# - raw formation energy (meV per atom) = -584
data_RbAuSe2
_chemical_formula_sum 'Rb4 Au4 Se8'
_cell_length_a 6.071
_cell_length_b 14.217
_cell_length_c 7.450
_cell_angle_alpha 90.00
_cell_angle_beta 90.00
_cell_angle_gamma 90.00
_symmetry_space_group_name_H-M 'C m c m'
_symmetry_Int_Tables_number 63
_symmetry_space_group_name_Hall '-C 2c 2'
loop_
_atom_site_label
_atom_site_type_symbol
_atom_site_fract_x
_atom_site_fract_y
_atom_site_fract_z
_atom_site_occupancy
Rb1 Rb 0.000 0.164 0.250 1
Au1 Au 0.000 0.498 0.250 1
Se1 Se 0.000 0.382 0.502 1

No. 10
# Rb3AuSe | Alexandria | PBE-GGA | relaxed
# - relative energy among the computed polymorphs (kJ/mol of formula units) = 18.5
# - total moment (μB per atom) = 0.0000
# - raw formation energy (meV per atom) = -607
data_Rb3AuSe
_chemical_formula_sum 'Rb3 Au1 Se1'
_cell_length_a 6.531
_cell_length_b 6.531
_cell_length_c 6.531
_cell_angle_alpha 90.00
_cell_angle_beta 90.00
_cell_angle_gamma 90.00
_symmetry_space_group_name_H-M 'P m -3 m'
_symmetry_Int_Tables_number 221
_symmetry_space_group_name_Hall '-P 4 2 3'
loop_
_atom_site_label
_atom_site_type_symbol
_atom_site_fract_x
_atom_site_fract_y
_atom_site_fract_z
_atom_site_occupancy
Rb1 Rb 0.000 0.000 0.500 1
Au1 Au 0.500 0.500 0.500 1
Se1 Se 0.000 0.000 0.000 1

No. 11
# RbAu3Se3 | Alexandria | PBE-GGA | relaxed
# - total moment (μB per atom) = 0.0000
# - raw formation energy (meV per atom) = -236
data_RbAu3Se3
_chemical_formula_sum 'Rb2 Au6 Se6'
_cell_length_a 11.0552
_cell_length_b 11.0552
_cell_length_c 4.1614
_cell_angle_alpha 90.00
_cell_angle_beta 90.00
_cell_angle_gamma 120.00
_symmetry_space_group_name_H-M 'P 63/m'
_symmetry_Int_Tables_number 176
_symmetry_space_group_name_Hall '-P 6c'
loop_
_atom_site_label
_atom_site_type_symbol
_atom_site_fract_x
_atom_site_fract_y
_atom_site_fract_z
_atom_site_occupancy
Rb1 Rb 0.3333 0.6667 0.2500 1
Au1 Au 0.0530 0.3269 0.7500 1
Se1 Se 0.0882 0.6978 0.7500 1

No. 12
# Rb4AuSe2 | Alexandria | PBE-GGA | relaxed
# - total moment (μB per atom) = 0.0000
# - raw formation energy (meV per atom) = -789
data_Rb4AuSe2
_chemical_formula_sum 'Rb12 Au3 Se6'
_cell_length_a 5.6611
_cell_length_b 5.6611
_cell_length_c 37.5390
_cell_angle_alpha 90.00
_cell_angle_beta 90.00
_cell_angle_gamma 120.00
_symmetry_space_group_name_H-M 'R -3 m'
_symmetry_Int_Tables_number 166
_symmetry_space_group_name_Hall '-R 3 2"'
loop_
_atom_site_label
_atom_site_type_symbol
_atom_site_fract_x
_atom_site_fract_y
_atom_site_fract_z
_atom_site_occupancy
Rb1 Rb 0.0000 0.0000 0.1261 1
Rb2 Rb 0.0000 0.0000 0.2806 1
Au1 Au 0.0000 0.0000 0.5000 1
Se1 Se 0.0000 0.0000 0.4335 1

No. 13
# RbAuSe2 | Alexandria | PBE-GGA | relaxed
# - total moment (μB per atom) = 0.0000
# - raw formation energy (meV per atom) = -412
data_RbAuSe2
_chemical_formula_sum 'Rb4 Au4 Se8'
_cell_length_a 8.134
_cell_length_b 8.134
_cell_length_c 7.066
_cell_angle_alpha 90.00
_cell_angle_beta 90.00
_cell_angle_gamma 90.00
_symmetry_space_group_name_H-M 'I -4 2 d'
_symmetry_Int_Tables_number 122
_symmetry_space_group_name_Hall 'I -4 2bw'
loop_
_atom_site_label
_atom_site_type_symbol
_atom_site_fract_x
_atom_site_fract_y
_atom_site_fract_z
_atom_site_occupancy
Rb1 Rb 0.000 0.000 0.000 1
Au1 Au 0.000 0.000 0.500 1
Se1 Se 0.158 0.250 0.625 1

No. 14
# Rb4Au2Se | Alexandria | PBE-GGA | relaxed
# - total moment (μB per atom) = 0.0000
# - raw formation energy (meV per atom) = -491
data_Rb4Au2Se
_chemical_formula_sum 'Rb8 Au4 Se2'
_cell_length_a 6.467
_cell_length_b 6.467
_cell_length_c 18.154
_cell_angle_alpha 90.00
_cell_angle_beta 90.00
_cell_angle_gamma 90.00
_symmetry_space_group_name_H-M 'I 4/m m m'
_symmetry_Int_Tables_number 139
_symmetry_space_group_name_Hall '-I 4 2'
loop_
_atom_site_label
_atom_site_type_symbol
_atom_site_fract_x
_atom_site_fract_y
_atom_site_fract_z
_atom_site_occupancy
Rb1 Rb 0.000 0.000 0.178 1
Rb2 Rb 0.000 0.500 0.000 1
Au1 Au 0.000 0.000 0.366 1
Se1 Se 0.000 0.000 0.000 1

No. 15
# Rb8Au2Se | Alexandria | PBE-GGA | relaxed
# - total moment (μB per atom) = 0.0000
# - raw formation energy (meV per atom) = -359
data_Rb8Au2Se
_chemical_formula_sum 'Rb16 Au4 Se2'
_cell_length_a 19.071
_cell_length_b 5.925
_cell_length_c 11.052
_cell_angle_alpha 90.00
_cell_angle_beta 104.11
_cell_angle_gamma 90.00
_symmetry_space_group_name_H-M 'C 1 2/m 1'
_symmetry_Int_Tables_number 12
loop_
_symmetry_equiv_pos_as_xyz
'x,y,z'
'-x,-y,-z'
'-x,y,-z'
'x,-y,z'
'x+1/2,y+1/2,z'
'-x+1/2,-y+1/2,-z'
'-x+1/2,y+1/2,-z'
'x+1/2,-y+1/2,z'
loop_
_atom_site_label
_atom_site_type_symbol
_atom_site_fract_x
_atom_site_fract_y
_atom_site_fract_z
_atom_site_occupancy
Rb1 Rb 0.051 0.000 0.216 1
Rb2 Rb 0.070 0.500 0.657 1
Rb3 Rb 0.184 0.500 0.055 1
Rb4 Rb 0.191 0.000 0.565 1
Au1 Au 0.241 0.000 0.255 1
Se1 Se 0.000 0.000 0.500 1

No. 16
# RbAu4Se5 | Alexandria | PBE-GGA | relaxed
# - total moment (μB per atom) = 0.0000
# - raw formation energy (meV per atom) = -96
data_RbAu4Se5
_chemical_formula_sum 'Rb2 Au8 Se10'
_cell_length_a 6.523
_cell_length_b 11.899
_cell_length_c 7.164
_cell_angle_alpha 90.00
_cell_angle_beta 90.00
_cell_angle_gamma 90.00
_symmetry_space_group_name_H-M 'P m m n'
_symmetry_Int_Tables_number 59
loop_
_symmetry_equiv_pos_as_xyz
'x,y,z'
'-x,-y,-z'
'-x+1/2,-y+1/2,z'
'x+1/2,y+1/2,-z'
'x+1/2,-y,-z'
'-x+1/2,y,z'
'-x,y+1/2,-z'
'x,-y+1/2,z'
loop_
_atom_site_label
_atom_site_type_symbol
_atom_site_fract_x
_atom_site_fract_y
_atom_site_fract_z
_atom_site_occupancy
Rb1 Rb 0.250 0.250 0.167 1
Au1 Au 0.011 0.750 0.304 1
Au2 Au 0.250 0.614 0.973 1
Se1 Se 0.054 0.544 0.281 1
Se2 Se 0.250 0.750 0.711 1

No. 17
# Rb2AuSe2 | Alexandria | PBE-GGA | relaxed
# - total moment (μB per atom) = 0.0000
# - raw formation energy (meV per atom) = -725
data_Rb2AuSe2
_chemical_formula_sum 'Rb8 Au4 Se8'
_cell_length_a 4.091
_cell_length_b 22.592
_cell_length_c 7.644
_cell_angle_alpha 90.00
_cell_angle_beta 90.00
_cell_angle_gamma 90.00
_symmetry_space_group_name_H-M 'C m c 21'
_symmetry_Int_Tables_number 36
loop_
_symmetry_equiv_pos_as_xyz
'x,y,z'
'-x,-y,z+1/2'
'-x,y,z'
'x,-y,z+1/2'
'x+1/2,y+1/2,z'
'-x+1/2,-y+1/2,z+1/2'
'-x+1/2,y+1/2,z'
'x+1/2,-y+1/2,z+1/2'
loop_
_atom_site_label
_atom_site_type_symbol
_atom_site_fract_x
_atom_site_fract_y
_atom_site_fract_z
_atom_site_occupancy
Rb1 Rb 0.000 0.036 0.000 1
Rb2 Rb 0.000 0.199 0.271 1
Au1 Au 0.000 0.366 0.129 1
Se1 Se 0.000 0.174 0.794 1
Se2 Se 0.000 0.423 0.855 1

No. 18
# Rb6Au2Se | Alexandria | PBE-GGA | relaxed
# - total moment (μB per atom) = 0.0689
# - raw formation energy (meV per atom) = -451
data_Rb6Au2Se
_chemical_formula_sum 'Rb12 Au4 Se2'
_cell_length_a 5.885
_cell_length_b 8.345
_cell_length_c 17.629
_cell_angle_alpha 90.00
_cell_angle_beta 90.00
_cell_angle_gamma 90.00
_symmetry_space_group_name_H-M 'I m m m'
_symmetry_Int_Tables_number 71
_symmetry_space_group_name_Hall '-I 2 2'
loop_
_atom_site_label
_atom_site_type_symbol
_atom_site_fract_x
_atom_site_fract_y
_atom_site_fract_z
_atom_site_occupancy
Rb1 Rb 0.000 0.236 0.000 1
Rb2 Rb 0.000 0.258 0.339 1
Au1 Au 0.000 0.500 0.164 1
Se1 Se 0.000 0.500 0.500 1

No. 19
# Rb2AuSe2 | Alexandria | PBE-GGA | relaxed
# - total moment (μB per atom) = 0.0000
# - raw formation energy (meV per atom) = -577
data_Rb2AuSe2
_chemical_formula_sum 'Rb4 Au2 Se4'
_cell_length_a 7.493
_cell_length_b 7.493
_cell_length_c 5.366
_cell_angle_alpha 90.00
_cell_angle_beta 90.00
_cell_angle_gamma 90.00
_symmetry_space_group_name_H-M 'P 4/m b m'
_symmetry_Int_Tables_number 127
_symmetry_space_group_name_Hall '-P 4 2ab'
loop_
_atom_site_label
_atom_site_type_symbol
_atom_site_fract_x
_atom_site_fract_y
_atom_site_fract_z
_atom_site_occupancy
Rb1 Rb 0.156 0.344 0.000 1
Au1 Au 0.000 0.000 0.500 1
Se1 Se 0.165 0.665 0.500 1

No. 20
# RbSm2AuSe4 | Alexandria | PBE-GGA | relaxed
# - total moment (μB per atom) = 0.0000
# - raw formation energy (meV per atom) = -1448
data_RbSm2AuSe4
_chemical_formula_sum 'Rb4 Sm8 Au4 Se16'
_cell_length_a 4.268
_cell_length_b 14.581
_cell_length_c 14.913
_cell_angle_alpha 90.00
_cell_angle_beta 90.00
_cell_angle_gamma 90.00
_symmetry_space_group_name_H-M 'C m c m'
_symmetry_Int_Tables_number 63
_symmetry_space_group_name_Hall '-C 2c 2'
loop_
_atom_site_label
_atom_site_type_symbol
_atom_site_fract_x
_atom_site_fract_y
_atom_site_fract_z
_atom_site_occupancy
Rb1 Rb 0.000 0.122 0.250 1
Sm1 Sm 0.000 0.369 0.068 1
Au1 Au 0.000 0.156 0.750 1
Se1 Se 0.000 0.000 0.000 1
Se2 Se 0.000 0.262 0.604 1
Se3 Se 0.000 0.447 0.250 1